# 1
Computed, not measured: an optimized crystal structure of KZn3Re at the PBE-GGA level of DFT.

abc: 5.828 5.828 5.828
angles: 90.00 90.00 90.00
Fractional coordinates of all 5 atoms:
K1 0.000 0.000 0.000
Zn1 0.000 0.000 0.500
Zn2 0.000 0.500 0.000
Zn3 0.500 0.000 0.000
Re1 0.500 0.500 0.500

Summary:
Symmetry: No. 221
Energy above the lowest structure with this stoichiometry: 145.70 kJ/mol of atoms

# 2
Computed, not measured: an optimized crystal structure of KZnRe2 at the PBE-GGA level of DFT.

abc: 3.104 4.360 10.367
angles: 90.00 90.00 90.00
Fractional coordinates of all 8 atoms:
K1 0.000 0.000 0.000
K2 0.500 0.500 0.000
Zn1 0.000 0.000 0.500
Zn2 0.500 0.500 0.500
Re1 0.000 0.500 0.289
Re2 0.000 0.500 0.711
Re3 0.500 0.000 0.289
Re4 0.500 0.000 0.711

Summary:
Symmetry: No. 65

# 3
Computed, not measured: an optimized crystal structure of KZnRe2 at the PBE-GGA level of DFT.

abc: 2.663 5.320 5.107
angles: 90.00 94.93 90.00
Fractional coordinates of all 4 atoms:
K1 0.000 0.000 0.000
Zn1 0.500 0.000 0.500
Re1 0.327 0.500 0.755
Re2 0.673 0.500 0.245

Summary:
Symmetry: No. 10

| no. | DFT formation energy (eV per formula unit) |
| --- | --- |
| 1 | 10.2 |
| 2 | 3.4 |
| 3 | 4.7 |